# 1
GGA-PBE Cs2CaPI6, relaxed; electronic total energy = -27.7 eV per cell; formation energy without anion corrections = -9.327 eV/f.u.; ρ = 4.1 g cm⁻³
1.0
-1.997 3.620 7.637
-5.301 -6.648 1.765
0.848 -4.422 7.255
I P Ca Cs
6 1 1 2
Cartesian
-5.449 -2.261 7.019 I
-2.835 1.017 6.149 I
-4.898 -4.580 10.765 I
-4.464 -4.046 3.253 I
-1.552 -2.870 5.892 I
-1.850 -0.768 2.383 I
-3.649 -1.514 4.701 P
0.000 0.000 0.000 Ca
-4.051 -6.292 6.861 Cs
-2.399 -1.158 9.797 Cs


# 2
GGA-PBE CsCa2PmI8, relaxed; electronic total energy = -39.6 eV per cell; formation energy without anion corrections = -17.605 eV/f.u.; ρ = 4.0 g cm⁻³
1.0
-5.007 -5.925 -0.714
3.405 -3.666 5.450
-6.037 4.284 6.674
I Pm Ca Cs
8 1 2 1
Cartesian
-6.849 -2.399 10.247 I
-3.072 -0.340 9.217 I
-8.073 -2.490 6.071 I
-4.065 -1.155 4.523 I
-4.567 -4.967 2.193 I
-3.574 -4.152 6.888 I
-0.790 -2.908 1.163 I
0.433 -2.817 5.339 I
0.000 0.000 0.000 Pm
-5.320 -1.590 7.363 Ca
-2.319 -3.717 4.047 Ca
-3.019 2.142 3.337 Cs


# 3
GGA-PBE CsCaPrI6, relaxed; electronic total energy = -61.4 eV per cell; formation energy without anion corrections = -13.782 eV/f.u.; ρ = 3.6 g cm⁻³
1.0
-1.515 7.652 -2.444
-6.196 -5.005 1.840
0.545 5.304 16.265
Pr I Ca Cs
2 12 2 2
Cartesian
-2.939 4.759 3.050 Pr
-4.226 3.192 12.610 Pr
-3.665 -1.216 6.966 I
-2.440 5.551 13.724 I
-2.715 2.894 5.594 I
-4.725 2.399 1.936 I
-0.479 9.314 12.432 I
-4.450 5.057 10.067 I
-2.262 -1.132 3.005 I
-3.500 9.167 8.695 I
-4.903 9.083 12.655 I
-6.687 -1.364 3.229 I
-0.224 6.292 9.522 I
-6.941 1.659 6.138 I
-2.666 7.411 11.182 Ca
-4.499 0.540 4.478 Ca
0.273 2.652 8.132 Cs
0.000 0.000 0.000 Cs


# 4
GGA-PBE CsCa2PtI, relaxed; electronic total energy = -11.2 eV per cell; formation energy without anion corrections = 1.251 eV/f.u.; ρ = 3.9 g cm⁻³
1.0
5.814 0.000 0.000
0.000 6.784 0.000
0.000 0.000 5.814
Cs I Ca Pt
1 1 2 1
Cartesian
0.000 3.392 0.000 Cs
0.000 0.000 0.000 I
2.907 0.000 0.000 Ca
0.000 0.000 2.907 Ca
2.907 3.392 2.907 Pt


# 5
GGA-PBE Cs2CaPuI6, relaxed; electronic total energy = -82.5 eV per cell; formation energy without anion corrections = -13.912 eV/f.u.; ρ = 4.4 g cm⁻³
1.0
-6.960 5.199 1.873
-2.863 -5.967 5.923
6.680 5.708 8.980
I Ca Pu Cs
12 2 2 4
Cartesian
-1.871 6.724 5.906 I
2.878 -0.182 11.203 I
-2.508 2.552 4.683 I
-6.675 0.912 4.386 I
-4.578 -4.664 6.370 I
-3.163 -1.712 3.441 I
-3.288 3.773 8.836 I
0.159 1.198 7.909 I
-8.093 -2.039 7.315 I
0.798 5.377 9.127 I
1.575 4.150 4.979 I
-0.496 -3.065 6.666 I
-2.147 -4.474 4.441 Ca
-0.857 3.960 6.909 Ca
-4.195 1.109 2.416 Pu
1.192 -1.622 8.933 Pu
-0.617 2.404 12.121 Cs
-3.962 -0.455 7.623 Cs
0.959 -0.059 3.726 Cs
4.293 2.791 8.209 Cs


# 6
GGA-PBE CsCa2PuI8, relaxed; electronic total energy = -47.8 eV per cell; formation energy without anion corrections = -16.215 eV/f.u.; ρ = 4.3 g cm⁻³
1.0
7.756 0.015 -0.001
0.073 7.481 -0.002
0.013 0.020 9.891
I Ca Pu Cs
8 2 1 1
Cartesian
3.062 2.022 4.950 I
6.497 1.957 7.833 I
1.362 5.578 7.836 I
2.584 1.935 0.001 I
5.259 5.581 9.887 I
6.481 1.938 2.052 I
1.345 5.559 2.055 I
4.781 5.494 4.939 I
3.917 3.753 2.484 Ca
3.926 3.763 7.405 Ca
0.000 0.000 0.000 Pu
0.007 0.010 4.946 Cs


# 7
GGA-PBE CsRb2CaI6, relaxed; electronic total energy = -26.2 eV per cell; formation energy without anion corrections = -12.105 eV/f.u.; ρ = 3.0 g cm⁻³
1.0
-3.172 -8.881 0.967
5.395 -2.722 -7.304
6.146 -7.141 1.050
Rb Ca I Cs
2 1 6 1
Cartesian
2.043 -10.911 -0.576 Rb
6.327 -7.832 -4.711 Rb
1.112 -5.801 -3.169 Ca
0.601 -3.136 -1.713 I
3.425 -6.417 -1.231 I
3.080 -4.387 -5.068 I
1.622 -8.467 -4.624 I
-0.856 -7.216 -1.269 I
4.945 -12.327 -4.057 I
0.000 0.000 0.000 Cs


# 8
GGA-PBE Cs2RbCaI6, relaxed; electronic total energy = -26.9 eV per cell; formation energy without anion corrections = -12.889 eV/f.u.; ρ = 3.4 g cm⁻³
1.0
9.287 0.000 0.000
0.000 9.287 0.000
4.644 4.644 6.567
I Cs Rb Ca
6 2 1 1
Cartesian
6.824 6.824 0.000 I
6.824 2.463 0.000 I
9.287 9.287 3.484 I
4.644 4.644 3.083 I
2.463 6.824 0.000 I
2.463 2.463 0.000 I
9.287 4.644 3.284 Cs
4.644 9.287 3.284 Cs
0.000 0.000 0.000 Rb
4.644 4.644 0.000 Ca


# 9
GGA-PBE Cs2RbCaI5, relaxed; electronic total energy = -26.2 eV per cell; formation energy without anion corrections = -13.811 eV/f.u.; ρ = 3.5 g cm⁻³
1.0
-5.487 1.493 -2.074
1.023 -5.576 -6.723
-1.521 -4.735 9.448
I Rb Cs Ca
5 1 2 1
Cartesian
-2.583 -6.506 2.151 I
-3.091 -3.741 5.485 I
-3.401 -2.312 -1.500 I
0.000 0.000 0.000 I
-2.894 -5.077 -4.833 I
0.512 -2.788 -3.361 Rb
-1.542 -2.785 2.075 Cs
-4.442 -6.033 -1.424 Cs
-2.744 0.747 -1.037 Ca


# 10
GGA-PBE CsRbCaI4, relaxed; electronic total energy = -20.9 eV per cell; formation energy without anion corrections = -10.863 eV/f.u.; ρ = 3.5 g cm⁻³
1.0
6.176 0.000 0.000
0.000 6.176 0.000
-3.088 -3.088 9.516
I Cs Rb Ca
4 1 1 1
Cartesian
0.000 3.088 9.472 I
0.000 0.000 3.151 I
3.088 0.000 9.472 I
3.088 3.088 6.423 I
3.088 3.088 2.666 Cs
0.000 0.000 6.863 Rb
0.000 0.000 0.015 Ca


# 11
GGA-PBE Cs2CaReI6, relaxed; electronic total energy = -33.4 eV per cell; formation energy without anion corrections = -7.939 eV/f.u.; ρ = 5.1 g cm⁻³
1.0
-7.009 4.488 0.148
-3.479 -5.601 5.079
-3.237 2.423 7.275
I Re Ca Cs
6 1 1 2
Cartesian
-8.021 -0.852 3.998 I
-4.181 1.022 5.083 I
-9.544 0.288 7.420 I
-2.466 -0.262 1.229 I
-6.179 2.115 1.308 I
-4.309 -3.229 3.920 I
0.000 0.000 0.000 Re
-5.244 -0.557 2.614 Ca
-7.745 3.177 5.019 Cs
-5.980 -1.867 7.484 Cs


# 12
GGA-PBE Cs2CaRuI6, relaxed; electronic total energy = -32.1 eV per cell; formation energy without anion corrections = -9.819 eV/f.u.; ρ = 4.8 g cm⁻³
1.0
8.304 0.000 0.000
0.000 8.304 0.000
4.152 4.152 5.871
Cs I Ca Ru
2 6 1 1
Cartesian
8.304 4.152 2.935 Cs
4.152 8.304 2.935 Cs
1.944 6.361 0.000 I
1.944 1.944 0.000 I
8.304 8.304 2.749 I
6.361 1.944 0.000 I
6.361 6.361 0.000 I
4.152 4.152 3.122 I
4.152 4.152 0.000 Ca
0.000 0.000 0.000 Ru


# 13
GGA-PBE Cs2CaSI6, relaxed; electronic total energy = -26.6 eV per cell; formation energy without anion corrections = -9.508 eV/f.u.; ρ = 3.8 g cm⁻³
1.0
-2.930 0.502 -7.761
5.070 -6.165 -2.313
-3.853 -7.465 -3.478
Cs Ca I S
2 1 6 1
Cartesian
-2.856 -4.897 -8.138 Cs
1.144 -8.231 -5.414 Cs
0.000 0.000 0.000 Ca
2.903 -4.359 -3.789 I
1.561 -4.129 -7.345 I
0.580 -1.534 -2.729 I
-0.763 -1.304 -6.285 I
-0.004 -7.682 -9.395 I
-1.708 -5.446 -4.157 I
1.070 -2.831 -5.037 S


# 14
GGA-PBE CsCaSb2I, relaxed; relative energy among the computed polymorphs = 897 meV/atom; electronic total energy = -9.9 eV per cell; formation energy without anion corrections = 2.771 eV/f.u.; ρ = 3.5 g cm⁻³
1.0
6.170 0.000 0.000
0.000 6.170 0.000
0.000 0.000 6.685
Sb I Cs Ca
2 1 1 1
Cartesian
3.085 0.000 0.000 Sb
0.000 3.085 0.000 Sb
0.000 0.000 3.343 I
0.000 0.000 0.000 Cs
3.085 3.085 3.343 Ca


# 15
GGA-PBE CsCa2SbI8, relaxed; electronic total energy = -34.4 eV per cell; formation energy without anion corrections = -13.035 eV/f.u.; ρ = 4.0 g cm⁻³
1.0
7.677 0.027 0.000
0.078 7.367 0.000
0.014 0.022 9.957
I Cs Ca Sb
8 1 2 1
Cartesian
6.470 1.905 2.068 I
6.490 1.927 7.885 I
4.695 5.433 4.973 I
2.600 1.824 0.003 I
3.074 1.982 4.983 I
5.169 5.591 9.954 I
1.299 5.511 7.888 I
1.280 5.488 2.072 I
0.007 0.011 4.978 Cs
3.889 3.712 7.473 Ca
3.880 3.704 2.483 Ca
0.000 0.000 0.000 Sb


# 16
GGA-PBE CsCaSb2I, relaxed; relative energy among the computed polymorphs = 0 meV/atom; electronic total energy = -14.4 eV per cell; formation energy without anion corrections = -1.713 eV/f.u.; ρ = 3.9 g cm⁻³
1.0
6.053 0.000 0.000
0.000 6.053 0.000
0.000 0.000 6.384
Ca Cs Sb I
1 1 2 1
Cartesian
0.000 0.000 0.000 Ca
3.027 3.027 3.192 Cs
3.027 0.000 0.000 Sb
0.000 3.027 0.000 Sb
0.000 0.000 3.192 I


# 17
GGA-PBE Cs2CaScI6, relaxed; electronic total energy = -33.3 eV per cell; formation energy without anion corrections = -13.916 eV/f.u.; ρ = 4.1 g cm⁻³
1.0
-6.671 1.765 5.132
-5.153 -4.612 -5.112
-4.708 -6.402 3.288
Cs I Ca Sc
2 6 1 1
Cartesian
-8.645 -3.030 4.215 Cs
-7.886 -6.219 -0.907 Cs
-5.296 -3.970 1.687 I
-2.888 -0.695 0.005 I
-11.235 -5.279 1.622 I
-6.300 0.208 2.630 I
-5.524 -3.055 -2.610 I
-8.936 -2.152 0.015 I
-5.912 -1.423 0.010 Ca
0.000 0.000 0.000 Sc


# 18
GGA-PBE Cs2CaSeI6, relaxed; electronic total energy = -26.6 eV per cell; formation energy without anion corrections = -10.087 eV/f.u.; ρ = 3.8 g cm⁻³
1.0
-8.183 -1.957 -0.578
1.201 -2.686 -7.904
-2.121 -8.758 -1.846
I Cs Se Ca
6 2 1 1
Cartesian
-6.204 -8.297 -7.122 I
-2.899 -5.104 -3.205 I
-1.634 -1.087 -1.986 I
-5.348 -3.556 -6.496 I
-0.996 -2.515 -6.189 I
-5.986 -2.128 -2.293 I
-6.897 -6.518 -3.332 Cs
-2.206 -6.883 -6.995 Cs
0.000 0.000 0.000 Se
-3.491 -2.321 -4.241 Ca


# 19
GGA-PBE CsCaSiI2, relaxed; electronic total energy = -12.6 eV per cell; formation energy without anion corrections = -1.261 eV/f.u.; ρ = 1.4 g cm⁻³
1.0
-5.586 1.698 -1.079
-5.234 -11.513 8.985
0.183 3.599 4.718
I Cs Ca Si
2 1 1 1
Cartesian
0.091 1.800 2.359 I
-2.793 0.849 -0.539 I
-2.617 -5.757 4.493 Cs
0.000 0.000 0.000 Ca
-5.319 -3.108 6.313 Si


# 20
GGA-PBE Cs2CaSiI6, relaxed; electronic total energy = -29.4 eV per cell; formation energy without anion corrections = -11.016 eV/f.u.; ρ = 4.1 g cm⁻³
1.0
-5.959 -5.787 -2.190
-1.344 -1.757 8.301
-7.922 0.542 3.277
Si Ca I Cs
1 1 6 2
Cartesian
-3.651 -3.772 3.055 Si
0.000 0.000 0.000 Ca
-4.772 -4.751 0.508 I
-2.530 -2.794 5.603 I
-9.500 -5.325 6.225 I
-5.725 -1.678 3.163 I
-5.424 -5.604 4.540 I
-1.878 -1.940 1.571 I
-8.766 -4.509 2.072 Cs
-6.458 -2.494 7.317 Cs